# SrPm5Ge3 PBE optimized geometry
data_SrPm5Ge3
_chemical_formula_sum 'Sr2 Pm10 Ge6'
_space_group_name_H-M_alt 'P 63/m c m'
_space_group_IT_number 193
_space_group_name_Hall '-P 6c 2'
_cell_length_a 9.1988
_cell_length_b 9.1988
_cell_length_c 6.6501
_cell_angle_alpha 90.00
_cell_angle_beta 90.00
_cell_angle_gamma 120.00
loop_
_atom_site_label
_atom_site_type_symbol
_atom_site_fract_x
_atom_site_fract_y
_atom_site_fract_z
Sr1 Sr 0.0000 0.0000 0.0000
Pm1 Pm 0.0000 0.3361 0.2500
Pm2 Pm 0.3333 0.6667 0.0000
Ge1 Ge 0.0000 0.3366 0.7500
# **E_form**: -493 meV per atom
# **Final energy**: -4.858 eV per atom
# **D(E_F)**: 17.2 states/eV/cell